[1]
Here is a geometry-optimized KLi3Au3 structure from Alexandria via LeMat-Bulk. Energies are from PBE.

Crystal system = cubic

a b c (Å): 7.1480 7.1480 7.1480
angles (deg): 90.00 90.00 90.00
Space group Pm-3n (No. 223)
Inequivalent atoms, fractional coordinates:
K (0.0000, 0.0000, 0.0000)
Li (0.0000, 0.2500, 0.5000)
Au (0.0000, 0.5000, 0.2500)


[2]
Here is a geometry-optimized K2LiAu structure from Alexandria via LeMat-Bulk. Energies are from PBE.

Crystal system = tetragonal

a b c (Å): 3.8082 3.8082 9.8780
angles (deg): 90.00 90.00 90.00
Space group P4mm (No. 99)
Inequivalent atoms, fractional coordinates:
K (0.0000, 0.0000, 0.0000)
K (0.5000, 0.5000, 0.4061)
Li (0.0000, 0.0000, 0.6863)
Au (0.5000, 0.5000, 0.7521)


[3]
Here is a geometry-optimized KLi3Au structure from Alexandria via LeMat-Bulk. Energies are from PBE.

Crystal system = cubic

a b c (Å): 4.7979 4.7979 4.7979
angles (deg): 90.00 90.00 90.00
Space group Pm-3m (No. 221)
Inequivalent atoms, fractional coordinates:
K (0.0000, 0.0000, 0.0000)
Li (0.0000, 0.0000, 0.5000)
Au (0.5000, 0.5000, 0.5000)


[4]
Here is a geometry-optimized K2LiAu structure from Alexandria via LeMat-Bulk. Energies are from PBE.

Crystal system = cubic

a b c (Å): 8.1913 8.1913 8.1913
angles (deg): 90.00 90.00 90.00
Space group Fm-3m (No. 225)
Inequivalent atoms, fractional coordinates:
K (0.2500, 0.2500, 0.2500)
Li (0.0000, 0.0000, 0.0000)
Au (0.0000, 0.0000, 0.5000)


[5]
Here is a geometry-optimized KLiAu2 structure from Alexandria via LeMat-Bulk. Energies are from PBE.

Crystal system = tetragonal

a b c (Å): 4.5710 4.5710 8.5687
angles (deg): 90.00 90.00 90.00
Space group I-4m2 (No. 119)
Inequivalent atoms, fractional coordinates:
K (0.0000, 0.0000, 0.0000)
Li (0.0000, 0.5000, 0.7500)
Au (0.0000, 0.0000, 0.5000)
Au (0.0000, 0.5000, 0.2500)


[6]
Here is a geometry-optimized K2LiAu structure from Alexandria via LeMat-Bulk. Energies are from PBE.

Crystal system = tetragonal

a b c (Å): 5.6362 5.6362 7.8649
angles (deg): 90.00 90.00 90.00
Space group I-4m2 (No. 119)
Inequivalent atoms, fractional coordinates:
K (0.0000, 0.0000, 0.0000)
K (0.0000, 0.5000, 0.2500)
Li (0.0000, 0.0000, 0.5000)
Au (0.0000, 0.5000, 0.7500)


[7]
Here is a geometry-optimized KLiAu2 structure from Alexandria via LeMat-Bulk. Energies are from PBE.

Crystal system = hexagonal

a b c (Å): 4.6063 4.6063 11.7565
angles (deg): 90.00 90.00 120.00
Space group P6_3/mmc (No. 194)
Inequivalent atoms, fractional coordinates:
K (0.3333, 0.6667, 0.2500)
Li (0.0000, 0.0000, 0.0000)
Au (0.3333, 0.6667, 0.5436)


[8]
Here is a geometry-optimized K2Li2Au structure from Alexandria via LeMat-Bulk. Energies are from PBE.

Crystal system = tetragonal

a b c (Å): 4.0477 4.0477 21.1527
angles (deg): 90.00 90.00 90.00
Space group I4/mmm (No. 139)
Inequivalent atoms, fractional coordinates:
K (0.0000, 0.0000, 0.0925)
Li (0.0000, 0.5000, 0.2500)
Au (0.0000, 0.0000, 0.5000)


[9]
Here is a geometry-optimized K2LiAu2 structure from Alexandria via LeMat-Bulk. Energies are from PBE.

Crystal system = tetragonal

a b c (Å): 9.3388 9.3388 3.6314
angles (deg): 90.00 90.00 90.00
Space group P4/mbm (No. 127)
Inequivalent atoms, fractional coordinates:
K (0.1342, 0.3658, 0.0000)
Li (0.0000, 0.0000, 0.0000)
Au (0.1657, 0.6657, 0.5000)


[10]
Here is a geometry-optimized K2LiAu structure from Alexandria via LeMat-Bulk. Energies are from PBE.

Crystal system = orthorhombic

a b c (Å): 4.1101 5.7931 12.1417
angles (deg): 90.00 90.00 90.00
Space group Imm2 (No. 44)
Inequivalent atoms, fractional coordinates:
K (0.0000, 0.0000, 0.0000)
K (0.0000, 0.5000, 0.1984)
Li (0.0000, 0.5000, 0.8233)
Au (0.0000, 0.0000, 0.4529)


[11]
Here is a geometry-optimized KLiAu2 structure from Alexandria via LeMat-Bulk. Energies are from PBE.

Crystal system = tetragonal

a b c (Å): 3.6512 3.6512 7.2365
angles (deg): 90.00 90.00 90.00
Space group P4mm (No. 99)
Inequivalent atoms, fractional coordinates:
K (0.0000, 0.0000, 0.0000)
Li (0.5000, 0.5000, 0.3774)
Au (0.0000, 0.0000, 0.4900)
Au (0.5000, 0.5000, 0.7231)


[12]
Here is a geometry-optimized KLi3Au structure from Alexandria via LeMat-Bulk. Energies are from PBE.

Crystal system = cubic

a b c (Å): 5.1618 5.1618 5.1618
angles (deg): 90.00 90.00 90.00
Space group Pm-3m (No. 221)
Inequivalent atoms, fractional coordinates:
K (0.0000, 0.0000, 0.0000)
Li (0.0000, 0.5000, 0.5000)
Au (0.5000, 0.5000, 0.5000)


no.,mass density (g/cm3),raw total energy (eV/cell)
1,5.918,-36.77
2,3.270,-8.00
3,3.862,-6.54
4,3.409,-29.89
5,8.162,-20.51
6,3.750,-15.02
7,6.764,-22.15
8,2.770,-18.93
9,5.024,-22.01
10,3.241,-15.90
11,7.573,-10.31
12,3.102,-10.96